The following is a GGA-PBE calculation of a geometry-optimized CuPdSe2 structure, from Alexandria via LeMat-Bulk.

Properties
Energy relative to the elements, uncorrected   -0.053 eV per atom
Total magnetic moment   0.00 μB per formula unit
Volume   18.14 Å³ per atom

Cell: 3.757 3.757 6.320 Å, 72.71 72.71 60.00°
Element x y z (fractional)
Cu 0.664 0.664 0.007
Pd 0.506 0.506 0.482
Se 0.074 0.074 0.777
Se 0.255 0.255 0.234